# 1
The following is a DFT calculation (PBE) of Pr2Y3Ho7 after structural relaxation.

Unit cell a=6.3496 b=3.5258 c=17.4798 alpha=90.00 beta=96.09 gamma=90.00
Space group P2/m (No. 10)
Inequivalent atoms, fractional coordinates:
Pr: 0.0585 0.0000 0.1733
Y: 0.4521 0.5000 0.8423
Y: 0.5000 0.0000 0.5000
Ho: 0.0000 0.5000 0.5000
Ho: 0.2267 0.0000 0.6655
Ho: 0.2564 0.0000 0.9990
Ho: 0.2745 0.5000 0.3371

Magnetization (μB per formula unit): 0.00
Energy relative to the elements (eV/f.u.): 0.953

# 2
The following is a DFT calculation (PBE) of Pr2Y5Ho4 after structural relaxation.

Unit cell a=23.9636 b=3.4717 c=8.7786 alpha=90.00 beta=96.18 gamma=90.00
Space group C2/m (No. 12)
Inequivalent atoms, fractional coordinates:
Pr: 0.0921 0.0000 0.2412
Y: 0.0000 0.5000 0.5000
Y: 0.1406 0.0000 0.6227
Y: 0.2332 0.0000 0.3237
Ho: 0.0456 0.0000 0.8618
Ho: 0.1774 0.5000 0.9729

Magnetization (μB per formula unit): 0.00
Energy relative to the elements (eV/f.u.): 1.677

# 3
The following is a DFT calculation (PBE) of PrY6Ho12 after structural relaxation.

Unit cell a=11.9247 b=11.9247 c=15.0949 alpha=90.00 beta=90.00 gamma=120.00
Space group R-3 (No. 148, hexagonal axes)
Inequivalent atoms, fractional coordinates:
Pr: 0.0000 0.0000 0.0000
Y: 0.0067 0.4204 0.6772
Ho: 0.0236 0.8400 0.1926
Ho: 0.0391 0.8518 0.4162

Magnetization (μB per formula unit): 0.00
Energy relative to the elements (eV/f.u.): 3.050

# 4
The following is a DFT calculation (PBE) of Pr3Y4Ho4 after structural relaxation.

Unit cell a=10.6681 b=5.7408 c=12.0953 alpha=90.00 beta=90.00 gamma=90.00
Space group Amm2 (No. 38)
Inequivalent atoms, fractional coordinates:
Pr: 0.0000 0.0000 0.0000
Pr: 0.2970 0.0000 0.1473
Y: 0.0000 0.0000 0.3013
Y: 0.2900 0.0000 0.8438
Y: 0.5000 0.0000 0.3624
Ho: 0.0000 0.0000 0.7000
Ho: 0.2147 0.0000 0.4994
Ho: 0.5000 0.0000 0.6347

Magnetization (μB per formula unit): 0.00
Energy relative to the elements (eV/f.u.): 1.699

# 5
The following is a DFT calculation (PBE) of PrY12Ho6 after structural relaxation.

Unit cell a=15.5283 b=15.5283 c=8.7328 alpha=90.00 beta=90.00 gamma=120.00
Space group R-3 (No. 148, hexagonal axes)
Inequivalent atoms, fractional coordinates:
Pr: 0.0000 0.0000 0.0000
Y: 0.0170 0.8760 0.6653
Y: 0.0689 0.5080 0.6677
Ho: 0.0354 0.7542 0.3328

Magnetization (μB per formula unit): 0.00
Energy relative to the elements (eV/f.u.): 0.452

# 6
The following is a DFT calculation (PBE) of PrY2Ho4 after structural relaxation.

Unit cell a=6.1509 b=6.5621 c=11.4874 alpha=90.00 beta=103.71 gamma=90.00
Space group P2_1/m (No. 11)
Inequivalent atoms, fractional coordinates:
Pr: 0.0468 0.2500 0.3616
Y: 0.1516 0.2500 0.9494
Y: 0.3924 0.7500 0.5092
Ho: 0.1491 0.2500 0.6633
Ho: 0.2873 0.7500 0.9237
Ho: 0.3527 0.5093 0.2108

Magnetization (μB per formula unit): 0.00
Energy relative to the elements (eV/f.u.): 0.855

# 7
The following is a DFT calculation (PBE) of Pr7Y12Ho after structural relaxation.

Unit cell a=11.3833 b=11.3833 c=11.3833 alpha=90.00 beta=90.00 gamma=90.00
Space group Im-3m (No. 229)
Inequivalent atoms, fractional coordinates:
Pr: 0.0000 0.0000 0.5000
Pr: 0.2500 0.2500 0.2500
Y: 0.0000 0.2466 0.2466
Ho: 0.0000 0.0000 0.0000

Magnetization (μB per formula unit): 0.00
Energy relative to the elements (eV/f.u.): 12.443

# 8
The following is a DFT calculation (PBE) of PrY2Ho7 after structural relaxation.

Unit cell a=8.6332 b=16.8133 c=5.4206 alpha=90.00 beta=90.00 gamma=90.00
Space group Cmmm (No. 65)
Inequivalent atoms, fractional coordinates:
Pr: 0.0000 0.0000 0.0000
Y: 0.0000 0.2967 0.5000
Ho: 0.0000 0.2032 0.0000
Ho: 0.0000 0.5000 0.5000
Ho: 0.1771 0.1111 0.5000

Magnetization (μB per formula unit): 0.00
Energy relative to the elements (eV/f.u.): 7.126

# 9
The following is a DFT calculation (PBE) of Pr12YHo6 after structural relaxation.

Unit cell a=12.2420 b=12.2420 c=15.4259 alpha=90.00 beta=90.00 gamma=120.00
Space group R-3 (No. 148, hexagonal axes)
Inequivalent atoms, fractional coordinates:
Pr: 0.0011 0.8276 0.1916
Pr: 0.0475 0.8490 0.4163
Y: 0.0000 0.0000 0.0000
Ho: 0.0169 0.4286 0.6879

Magnetization (μB per formula unit): 0.00
Energy relative to the elements (eV/f.u.): 2.450

# 10
The following is a DFT calculation (PBE) of Pr5Y3Ho3 after structural relaxation.

Unit cell a=9.8101 b=9.8101 c=5.6052 alpha=90.00 beta=90.00 gamma=120.00
Space group P-62m (No. 189)
Inequivalent atoms, fractional coordinates:
Pr: 0.0000 0.2684 0.0000
Pr: 0.3333 0.6667 0.0000
Y: 0.0000 0.4614 0.5000
Ho: 0.0000 0.6355 0.0000

Magnetization (μB per formula unit): 0.00
Energy relative to the elements (eV/f.u.): 8.514

# 11
The following is a DFT calculation (PBE) of Pr2Y3Ho7 after structural relaxation.

Unit cell a=5.7880 b=3.6008 c=18.7536 alpha=90.00 beta=93.57 gamma=90.00
Space group P2/m (No. 10)
Inequivalent atoms, fractional coordinates:
Pr: 0.2056 0.0000 0.2930
Y: 0.0000 0.0000 0.0000
Y: 0.2791 0.5000 0.6297
Ho: 0.1833 0.5000 0.1414
Ho: 0.2417 0.0000 0.4618
Ho: 0.3156 0.0000 0.8269
Ho: 0.5000 0.5000 0.0000

Magnetization (μB per formula unit): 0.00
Energy relative to the elements (eV/f.u.): 1.047

# 12
The following is a DFT calculation (PBE) of Pr2YHo3 after structural relaxation.

Unit cell a=17.1761 b=5.6030 c=10.1019 alpha=90.00 beta=124.89 gamma=90.00
Space group C2/m (No. 12)
Inequivalent atoms, fractional coordinates:
Pr: 0.0086 0.0000 0.3578
Pr: 0.2286 0.5000 0.3702
Y: 0.1340 0.5000 0.6394
Ho: 0.0493 0.5000 0.8958
Ho: 0.1123 0.0000 0.1543
Ho: 0.2085 0.0000 0.9260

Magnetization (μB per formula unit): 0.00
Energy relative to the elements (eV/f.u.): 0.557

# 13
The following is a DFT calculation (PBE) of Pr4Y5Ho3 after structural relaxation.

Unit cell a=16.2870 b=5.9676 c=9.4574 alpha=90.00 beta=116.89 gamma=90.00
Space group C2/m (No. 12)
Inequivalent atoms, fractional coordinates:
Pr: 0.0857 0.0000 0.4489
Pr: 0.2179 0.0000 0.8835
Y: 0.0000 0.0000 0.0000
Y: 0.0706 0.5000 0.7049
Y: 0.1699 0.5000 0.3815
Ho: 0.0000 0.5000 0.0000
Ho: 0.2134 0.0000 0.2374

Magnetization (μB per formula unit): 0.61
Energy relative to the elements (eV/f.u.): 2.632

# 14
The following is a DFT calculation (PBE) of Pr3Y5Ho2 after structural relaxation.

Unit cell a=10.8199 b=16.3207 c=9.3749 alpha=90.00 beta=125.17 gamma=90.00
Space group C2/c (No. 15)
Inequivalent atoms, fractional coordinates:
Pr: 0.0000 0.2314 0.2500
Pr: 0.1457 0.1249 0.0462
Y: 0.0000 0.0263 0.2500
Y: 0.0000 0.2738 0.7500
Y: 0.0000 0.4716 0.7500
Y: 0.2425 0.3844 0.2366
Ho: 0.1491 0.3807 0.5447

Magnetization (μB per formula unit): 0.00
Energy relative to the elements (eV/f.u.): 1.819

# 15
The following is a DFT calculation (PBE) of Pr3Y2Ho7 after structural relaxation.

Unit cell a=5.8486 b=3.5762 c=18.9019 alpha=90.00 beta=92.98 gamma=90.00
Space group P2/m (No. 10)
Inequivalent atoms, fractional coordinates:
Pr: 0.0000 0.0000 0.0000
Pr: 0.2779 0.5000 0.6327
Y: 0.2105 0.0000 0.2918
Ho: 0.1910 0.5000 0.1429
Ho: 0.2430 0.0000 0.4622
Ho: 0.3069 0.0000 0.8251
Ho: 0.5000 0.5000 0.0000

Magnetization (μB per formula unit): 0.00
Energy relative to the elements (eV/f.u.): 1.069

# 16
The following is a DFT calculation (PBE) of Pr4YHo7 after structural relaxation.

Unit cell a=6.5942 b=6.8846 c=9.0936 alpha=84.66 beta=77.34 gamma=81.59
Space group P-1 (No. 2)
Inequivalent atoms, fractional coordinates:
Pr: 0.1380 0.3067 0.2862
Pr: 0.3362 0.8866 0.6923
Y: 0.5000 0.5000 0.0000
Ho: 0.0120 0.2528 0.9516
Ho: 0.1815 0.7974 0.3554
Ho: 0.3138 0.3954 0.6192
Ho: 0.5000 0.0000 0.0000

Magnetization (μB per formula unit): 0.00
Energy relative to the elements (eV/f.u.): 1.045

# 17
The following is a DFT calculation (PBE) of Pr3Y8Ho3 after structural relaxation.

Unit cell a=5.7078 b=10.8295 c=15.1721 alpha=90.00 beta=90.00 gamma=90.00
Space group Immm (No. 71)
Inequivalent atoms, fractional coordinates:
Pr: 0.0000 0.0000 0.0000
Pr: 0.0000 0.5000 0.3174
Y: 0.0000 0.1604 0.2805
Y: 0.0000 0.3412 0.1020
Ho: 0.0000 0.0000 0.5000
Ho: 0.0000 0.2970 0.5000

Magnetization (μB per formula unit): 0.00
Energy relative to the elements (eV/f.u.): 1.548

# 18
The following is a DFT calculation (PBE) of PrY2Ho2 after structural relaxation.

Unit cell a=9.4362 b=9.4362 c=3.7411 alpha=90.00 beta=90.00 gamma=90.00
Space group P4/mbm (No. 127)
Inequivalent atoms, fractional coordinates:
Pr: 0.0000 0.0000 0.0000
Y: 0.1724 0.3276 0.5000
Ho: 0.1241 0.6241 0.0000

Magnetization (μB per formula unit): 0.00
Energy relative to the elements (eV/f.u.): 0.410

# 19
The following is a DFT calculation (PBE) of Pr2Y5Ho3 after structural relaxation.

Unit cell a=10.6857 b=16.3013 c=9.3361 alpha=90.00 beta=124.84 gamma=90.00
Space group C2/c (No. 15)
Inequivalent atoms, fractional coordinates:
Pr: 0.1420 0.1249 0.0441
Y: 0.0000 0.2296 0.2500
Y: 0.0000 0.2747 0.7500
Y: 0.0000 0.4727 0.7500
Y: 0.2379 0.3814 0.2310
Ho: 0.0000 0.0254 0.2500
Ho: 0.1549 0.3784 0.5492

Magnetization (μB per formula unit): 0.00
Energy relative to the elements (eV/f.u.): 1.834